{
  "formula": "Pr2Th2Pd15",
  "functional": "PBE-GGA",
  "state": "optimized geometry",
  "lattice": [[4.679, 2.701, 4.766], [-4.679, 2.701, 4.766], [0.000, -5.403, 4.766]],
  "species": ["Pr", "Pr", "Th", "Th", "Pd", "Pd", "Pd", "Pd", "Pd", "Pd", "Pd", "Pd", "Pd", "Pd", "Pd", "Pd", "Pd", "Pd", "Pd"],
  "frac_coords": [[0.135, 0.135, 0.135], [0.865, 0.865, 0.865], [0.388, 0.388, 0.388], [0.612, 0.612, 0.612], [0.000, 0.500, 0.500], [0.153, 0.153, 0.661], [0.153, 0.661, 0.153], [0.191, 0.500, 0.809], [0.191, 0.809, 0.500], [0.339, 0.847, 0.847], [0.500, 0.000, 0.500], [0.500, 0.191, 0.809], [0.500, 0.500, 0.000], [0.500, 0.809, 0.191], [0.661, 0.153, 0.153], [0.809, 0.191, 0.500], [0.809, 0.500, 0.191], [0.847, 0.339, 0.847], [0.847, 0.847, 0.339]],
  "ef_ev_per_atom": -0.580
}